Density functional theory data (PBE+U) for crystalline Nd3FeO6 at its relaxed geometry.

abc: 7.436 7.436 5.667
angles: 90.00 90.00 102.82
Fractional positions:
Nd 0.103 0.897 0.500
Nd 0.200 0.413 0.456
Nd 0.413 0.200 0.956
Nd 0.587 0.800 0.456
Nd 0.800 0.587 0.956
Nd 0.897 0.103 0.000
Fe 0.308 0.692 0.924
Fe 0.692 0.308 0.424
O 0.084 0.606 0.752
O 0.146 0.173 0.727
O 0.173 0.146 0.227
O 0.285 0.715 0.258
O 0.394 0.916 0.752
O 0.459 0.541 0.784
O 0.541 0.459 0.284
O 0.606 0.084 0.252
O 0.715 0.285 0.758
O 0.827 0.854 0.727
O 0.854 0.827 0.227
O 0.916 0.394 0.252

total moment	0.50	μB/atom
VASP energy	-7.8910	eV per atom